Entry from Alexandria via LeMat-Bulk: a relaxed LiInHgF6 crystal (PBE).

POSCAR file:
```
LiInHgF6
1.0
-0.826 4.668 1.756
-2.683 1.084 -4.145
-8.470 -3.242 4.635
F Hg In Li
12 2 2 2
Direct
0.821 0.179 0.168 F
0.704 0.704 0.347 F
0.179 0.821 0.168 F
0.296 0.296 0.347 F
0.705 0.705 0.985 F
0.204 0.796 0.847 F
0.679 0.679 0.668 F
0.795 0.205 0.485 F
0.321 0.321 0.668 F
0.205 0.795 0.485 F
0.796 0.204 0.847 F
0.295 0.295 0.985 F
0.500 0.500 0.167 Hg
0.000 0.000 0.667 Hg
0.000 0.000 0.335 In
0.500 0.500 0.835 In
0.000 0.000 0.998 Li
0.500 0.500 0.498 Li
```

Properties
Formation energy from raw total energies, eV/atom: -2.247
Symmetry: P4_2nm (102)
Energy, eV for the cell shown: -72.81

=====

Entry from Alexandria via LeMat-Bulk: a relaxed InHgN2F crystal (PBE).

POSCAR file:
```
InHgN2F
1.0
4.353 0.000 0.000
0.000 4.353 0.000
0.000 0.000 4.273
N F Hg In
2 1 1 1
Direct
0.000 0.500 0.000 N
0.500 0.000 0.000 N
0.000 0.000 0.500 F
0.500 0.500 0.500 Hg
0.000 0.000 0.000 In
```

Properties
Formation energy from raw total energies, eV/atom: 0.691
Symmetry: P4/mmm (123)
Energy, eV for the cell shown: -18.11

=====

Entry from Alexandria via LeMat-Bulk: a relaxed InHgN2F crystal (PBE).

POSCAR file:
```
InHgN2F
1.0
4.295 0.000 0.000
0.000 4.295 0.000
0.000 0.000 5.000
In Hg N F
1 1 2 1
Direct
0.500 0.500 0.500 In
0.000 0.000 0.000 Hg
0.000 0.500 0.000 N
0.500 0.000 0.000 N
0.000 0.000 0.500 F
```

Properties
Formation energy from raw total energies, eV/atom: 1.064
Symmetry: P4/mmm (123)
Energy, eV for the cell shown: -16.24

=====

Entry from Alexandria via LeMat-Bulk: a relaxed Na2InHgF6 crystal (PBE).

POSCAR file:
```
Na2InHgF6
1.0
0.052 -1.587 6.234
-5.145 -2.813 2.646
0.257 -6.188 1.742
F In Na Hg
6 1 2 1
Direct
0.231 0.769 0.769 F
0.769 0.769 0.231 F
0.769 0.231 0.231 F
0.231 0.231 0.769 F
0.769 0.231 0.769 F
0.231 0.769 0.231 F
0.000 0.000 0.000 In
0.250 0.250 0.250 Na
0.750 0.750 0.750 Na
0.500 0.500 0.500 Hg
```

Properties
Formation energy from raw total energies, eV/atom: -2.099
Symmetry: Fm-3m (225)
Energy, eV for the cell shown: -37.90

=====

Entry from Alexandria via LeMat-Bulk: a relaxed NbInHgF2 crystal (PBE).

POSCAR file:
```
NbInHgF2
1.0
-0.567 2.257 3.491
-3.160 -4.555 2.431
3.533 -1.595 1.605
Hg F In Nb
1 2 1 1
Direct
0.500 0.500 0.500 Hg
0.000 0.000 0.500 F
0.500 0.000 0.000 F
0.000 0.500 0.000 In
0.000 0.000 0.000 Nb
```

Properties
Formation energy from raw total energies, eV/atom: -1.161
Symmetry: P4/mmm (123)
Energy, eV for the cell shown: -22.66

=====

Entry from Alexandria via LeMat-Bulk: a relaxed InHgO2F crystal (PBE).

POSCAR file:
```
InHgO2F
1.0
4.244 0.000 0.000
0.000 4.244 0.000
0.000 0.000 4.544
O In F Hg
2 1 1 1
Direct
0.500 0.000 0.000 O
0.000 0.500 0.000 O
0.500 0.500 0.500 In
0.000 0.000 0.500 F
0.000 0.000 0.000 Hg
```

Properties
Formation energy from raw total energies, eV/atom: -0.329
Symmetry: P4/mmm (123)
Energy, eV for the cell shown: -16.47

=====

Entry from Alexandria via LeMat-Bulk: a relaxed InHgO2F crystal (PBE).

POSCAR file:
```
InHgO2F
1.0
-1.518 3.953 0.006
-3.194 -1.222 -2.496
-2.301 -0.889 3.380
O F Hg In
2 1 1 1
Direct
0.500 0.000 0.000 O
0.000 0.500 0.000 O
0.000 0.000 0.500 F
0.500 0.500 0.500 Hg
0.000 0.000 0.000 In
```

Properties
Formation energy from raw total energies, eV/atom: -0.930
Symmetry: P4/mmm (123)
Energy, eV for the cell shown: -19.48

=====

Entry from Alexandria via LeMat-Bulk: a relaxed PaIn2HgF8 crystal (PBE).

POSCAR file:
```
PaIn2HgF8
1.0
6.150 0.000 0.000
0.000 6.150 0.000
-3.075 -3.075 6.068
F Hg Pa In
8 1 1 2
Direct
0.147 0.067 0.713 F
0.147 0.646 0.713 F
0.354 0.434 0.287 F
0.933 0.853 0.287 F
0.933 0.434 0.287 F
0.566 0.067 0.713 F
0.354 0.853 0.287 F
0.566 0.646 0.713 F
0.500 0.500 0.000 Hg
0.250 0.750 0.500 Pa
0.000 0.000 0.000 In
0.750 0.250 0.500 In
```

Properties
Formation energy from raw total energies, eV/atom: -2.597
Symmetry: I-4m2 (119)
Energy, eV for the cell shown: -61.41